(1)
A plane-wave DFT calculation with PBE was carried out for a relaxed structure of BeIrOF2.

Geometry as POSCAR:
```
BeIrOF2
1.0
4.368 0.000 0.000
0.000 4.368 0.000
0.000 0.000 3.731
Be Ir O F
1 1 1 2
Cartesian
2.184 2.184 1.866 Be
0.000 0.000 0.000 Ir
0.000 0.000 1.866 O
0.000 2.184 0.000 F
2.184 0.000 0.000 F
```



(2)
A plane-wave DFT calculation with PBE was carried out for a relaxed structure of BeIrOF2.

Geometry as POSCAR:
```
BeIrOF2
1.0
-2.332 1.298 -1.576
-1.899 -0.501 2.398
1.626 6.011 2.544
Be Ir O F
1 1 1 2
Cartesian
0.000 0.000 0.000 Be
-1.303 3.404 1.683 Ir
0.813 3.005 1.272 O
-0.950 -0.251 1.199 F
-1.166 0.649 -0.788 F
```



The energy of each structure relative to the most stable one, in kJ/mol of atoms, is as follows: (1) 95.7; (2) 0.0.



(1)
A plane-wave DFT calculation with PBE was carried out for a relaxed structure of BePIrF.

Geometry as POSCAR:
```
BePIrF
1.0
2.795 0.000 0.000
1.371 3.801 0.001
1.223 1.069 6.551
P Ir Be F
1 1 1 1
Cartesian
2.600 4.404 3.819 P
2.622 2.246 4.563 Ir
2.606 2.931 2.289 Be
1.209 2.759 1.527 F
```



(2)
A plane-wave DFT calculation with PBE was carried out for a relaxed structure of BePIrF.

Geometry as POSCAR:
```
BePIrF
1.0
-4.644 -1.014 -2.825
-1.364 -0.471 2.411
5.284 8.416 4.633
P F Ir Be
2 2 2 2
Cartesian
-4.165 -0.668 -2.487 P
-2.205 3.304 1.035 P
-1.999 1.018 -0.932 F
-0.039 4.990 2.589 F
-0.042 2.534 0.471 Ir
1.918 6.507 3.993 Ir
1.802 3.188 1.642 Be
3.763 7.161 5.164 Be
```



The energy of each structure relative to the most stable one, in kJ/mol of atoms, is as follows: (1) 0.0; (2) 30.1.



(1)
A plane-wave DFT calculation with PBE was carried out for a relaxed structure of BePIrF.

Geometry as POSCAR:
```
BePIrF
1.0
-1.322 -0.590 2.340
0.717 -3.665 -2.120
6.319 0.923 2.595
P Ir Be F
1 1 1 1
Cartesian
2.018 -3.424 0.296 P
1.424 -1.985 1.953 Ir
3.234 -1.542 3.061 Be
4.578 -1.157 2.301 F
```



(2)
A plane-wave DFT calculation with PBE was carried out for a relaxed structure of BePIrF.

Geometry as POSCAR:
```
BePIrF
1.0
3.574 0.000 0.006
0.000 2.782 0.000
-3.449 0.000 10.640
P Ir Be F
2 2 2 2
Cartesian
0.145 0.000 6.414 P
1.870 1.391 1.094 P
0.116 0.000 1.886 Ir
-1.609 1.391 7.206 Ir
0.847 0.000 4.148 Be
-0.877 1.391 9.468 Be
-0.106 0.000 9.582 F
1.618 1.391 4.262 F
```



The energy of each structure relative to the most stable one, in kJ/mol of atoms, is as follows: (1) 0.0; (2) 11.6.



(1)
A plane-wave DFT calculation with PBE was carried out for a relaxed structure of KBeF2.

Geometry as POSCAR:
```
KBeF2
1.0
-4.963 -2.705 0.707
2.552 -4.971 -1.107
-0.395 -4.297 3.731
Be K F
2 2 4
Cartesian
-1.206 -3.838 -0.200 Be
0.475 -6.553 1.212 Be
0.000 0.000 0.000 K
-3.282 -5.420 2.119 K
-1.644 -2.712 1.060 F
-0.362 -5.194 0.506 F
-0.564 -7.340 2.373 F
-3.042 -8.700 2.725 F
```



(2)
A plane-wave DFT calculation with PBE was carried out for a relaxed structure of KBeF2.

Geometry as POSCAR:
```
KBeF2
1.0
1.824 0.000 7.227
-0.912 1.580 7.227
-0.912 -1.580 7.227
Be K F
1 1 2
Cartesian
0.000 0.000 10.841 Be
0.000 0.000 0.000 K
0.000 0.000 18.891 F
0.000 0.000 2.791 F
```



(3)
A plane-wave DFT calculation with PBE was carried out for a relaxed structure of KBeF2.

Geometry as POSCAR:
```
KBeF2
1.0
2.339 0.000 5.718
-1.169 2.025 5.718
-1.169 -2.025 5.718
Be K F
1 1 2
Cartesian
0.000 0.000 0.000 Be
0.000 0.000 8.577 K
0.000 0.000 15.684 F
0.000 0.000 1.470 F
```



The energy of each structure relative to the most stable one, in kJ/mol of atoms, is as follows: (1) 19.9; (2) 61.0; (3) 0.0.



(1)
A plane-wave DFT calculation with PBE was carried out for a relaxed structure of KBe3F.

Geometry as POSCAR:
```
KBe3F
1.0
4.480 0.000 0.000
0.000 4.480 0.000
0.000 0.000 4.480
Be K F
3 1 1
Cartesian
0.000 2.240 0.000 Be
0.000 0.000 2.240 Be
2.240 0.000 0.000 Be
2.240 2.240 2.240 K
0.000 0.000 0.000 F
```



(2)
A plane-wave DFT calculation with PBE was carried out for a relaxed structure of KBe3F.

Geometry as POSCAR:
```
KBe3F
1.0
6.338 0.000 0.000
0.000 6.338 0.000
0.000 0.000 6.338
Be K F
3 1 1
Cartesian
0.000 3.169 0.000 Be
0.000 0.000 3.169 Be
3.169 0.000 0.000 Be
0.000 0.000 0.000 K
3.169 3.169 3.169 F
```



The energy of each structure relative to the most stable one, in kJ/mol of atoms, is as follows: (1) 0.0; (2) 88.4.



(1)
A plane-wave DFT calculation with PBE was carried out for a relaxed structure of KLiBeF4.

Geometry as POSCAR:
```
KLiBeF4
1.0
5.138 0.000 0.000
-2.569 4.450 0.000
0.000 0.000 8.703
K Li Be F
2 2 2 8
Cartesian
0.000 0.000 4.331 K
0.000 0.000 8.683 K
2.569 1.483 2.628 Li
0.000 2.967 6.980 Li
0.000 2.967 1.710 Be
2.569 1.483 6.062 Be
1.488 2.949 2.187 F
3.298 0.185 6.538 F
0.000 2.967 0.140 F
2.569 1.483 4.491 F
-0.728 4.265 2.187 F
1.081 1.501 6.538 F
3.329 2.763 6.538 F
-0.760 1.687 2.187 F
```



(2)
A plane-wave DFT calculation with PBE was carried out for a relaxed structure of KLiBeF4.

Geometry as POSCAR:
```
KLiBeF4
1.0
-2.898 2.928 -2.132
-0.076 -3.294 -4.420
-3.689 -5.160 3.909
K Li Be F
2 2 2 8
Cartesian
-5.028 -5.217 -1.182 K
-1.636 -0.308 -1.461 K
-4.466 -2.587 -3.152 Li
-2.198 -2.939 0.509 Li
-1.638 -3.522 -2.504 Be
-5.025 -2.004 -0.139 Be
-2.726 -5.037 0.524 F
-3.972 -1.981 -5.170 F
-3.937 -0.488 -3.167 F
-2.692 -3.545 2.527 F
-1.187 -2.345 -3.389 F
-5.477 -3.181 0.746 F
-3.169 -3.660 -2.375 F
-3.494 -1.865 -0.269 F
```



The energy of each structure relative to the most stable one, in kJ/mol of atoms, is as follows: (1) 0.0; (2) 4.3.



(1)
A plane-wave DFT calculation with PBE was carried out for a relaxed structure of KBeNF2.

Geometry as POSCAR:
```
KBeNF2
1.0
-1.388 2.838 2.581
-1.744 -2.911 2.264
2.928 -0.286 1.889
Be K N F
1 1 1 2
Cartesian
0.000 0.000 0.000 Be
-0.102 -0.179 3.367 K
1.464 -0.143 0.945 N
-0.872 -1.456 1.132 F
-0.694 1.419 1.290 F
```



(2)
A plane-wave DFT calculation with PBE was carried out for a relaxed structure of KBeNF2.

Geometry as POSCAR:
```
KBeNF2
1.0
4.823 0.000 0.000
0.000 4.823 0.000
0.000 0.000 4.966
Be K N F
1 1 1 2
Cartesian
2.412 2.412 2.483 Be
0.000 0.000 0.000 K
0.000 0.000 2.483 N
0.000 2.412 0.000 F
2.412 0.000 0.000 F
```



The energy of each structure relative to the most stable one, in kJ/mol of atoms, is as follows: (1) 0.0; (2) 184.7.



(1)
A plane-wave DFT calculation with PBE was carried out for a relaxed structure of KBeOF2.

Geometry as POSCAR:
```
KBeOF2
1.0
4.556 0.000 0.000
0.000 4.556 0.000
0.000 0.000 4.267
Be K O F
1 1 1 2
Cartesian
2.278 2.278 2.133 Be
0.000 0.000 0.000 K
0.000 0.000 2.133 O
0.000 2.278 0.000 F
2.278 0.000 0.000 F
```



(2)
A plane-wave DFT calculation with PBE was carried out for a relaxed structure of KBeOF2.

Geometry as POSCAR:
```
KBeOF2
1.0
-3.689 1.226 1.166
-1.452 -0.857 -3.692
-0.715 -3.101 1.001
Be K O F
1 1 1 2
Cartesian
0.000 0.000 0.000 Be
-2.928 -1.366 -0.763 K
-0.357 -1.551 0.500 O
-0.726 -0.428 -1.846 F
-1.845 0.613 0.583 F
```



The energy of each structure relative to the most stable one, in kJ/mol of atoms, is as follows: (1) 206.1; (2) 0.0.